Record 1
## BeMoBr (PBEsol)

Data for a relaxed structure of BeMoBr.

Geometry as extended XYZ:
```
3
Lattice="2.934 0.000 0.000 0.000 2.934 0.000 -1.467 -1.467 6.095" Properties=species:S:1:pos:R:3 pbc="T T T"
Be 1.467 1.467 5.547
Mo 0.000 0.000 4.179
Br 1.467 1.467 2.463
```

As for the uncorrected formation energy: 0.5526 eV/atom.

=====

Record 2
## BeBiMo3 (PBEsol)

Data for a relaxed structure of BeBiMo3.

Geometry as extended XYZ:
```
5
Lattice="4.938 0.000 0.000 0.000 4.938 0.000 0.000 0.000 4.938" Properties=species:S:1:pos:R:3 pbc="T T T"
Be 2.469 2.469 2.469
Mo 0.000 2.469 0.000
Mo 0.000 0.000 2.469
Mo 2.469 0.000 0.000
Bi 0.000 0.000 0.000
```

The value obtained for the formation energy is 2.926 eV per atom.

=====

Record 3
## Ba2PrF7 (PBEsol)

Data for a relaxed structure of Ba2PrF7.

Geometry as extended XYZ:
```
10
Lattice="4.203 -0.040 0.066 0.039 4.203 0.086 1.968 1.890 9.409" Properties=species:S:1:pos:R:3 pbc="T T T"
Ba 6.115 1.815 9.284
Ba 2.016 1.984 3.017
Pr 4.084 3.994 6.331
F 4.091 1.929 4.784
F 2.059 4.115 1.605
F 4.141 1.994 1.596
F 4.047 3.944 8.782
F 4.044 1.872 7.292
F 1.966 3.991 7.301
F 2.008 4.051 4.794
```

As for the uncorrected formation energy: -3.9317 eV/atom.

=====

Record 4
## TbAgHg2 (PBEsol)

Data for a relaxed structure of TbAgHg2.

Geometry as extended XYZ:
```
4
Lattice="-2.106 -1.536 4.164 0.740 -4.593 1.577 2.750 -0.814 3.988" Properties=species:S:1:pos:R:3 pbc="T T T"
Tb 0.000 0.000 0.000
Hg 0.346 -1.736 2.432
Hg 1.038 -5.208 7.297
Ag 0.692 -3.472 4.865
```

The value obtained for the formation energy is -0.438 eV per atom.

=====

Record 5
## CoSeS (PBEsol)

Data for a relaxed structure of CoSeS.

Geometry as extended XYZ:
```
12
Lattice="5.555 0.000 0.000 0.000 5.555 0.000 0.000 0.000 5.555" Properties=species:S:1:pos:R:3 pbc="T T T"
Co 2.833 2.722 5.499
Co 2.722 5.499 2.833
Co 5.499 2.833 2.722
Co 0.056 0.056 0.056
Se 4.845 0.710 3.488
Se 0.710 3.488 4.845
Se 3.488 4.845 0.710
Se 2.067 2.067 2.067
S 0.686 4.869 2.092
S 4.869 2.092 0.686
S 2.092 0.686 4.869
S 3.464 3.464 3.464
```

As for the uncorrected formation energy: -0.4254 eV/atom.

=====

Record 6
## Mg3Mo (PBEsol)

Data for a relaxed structure of Mg3Mo.

Geometry as extended XYZ:
```
4
Lattice="2.965 0.000 0.000 -1.483 2.568 0.000 0.000 0.000 9.915" Properties=species:S:1:pos:R:3 pbc="T T T"
Mg 0.000 0.000 4.958
Mg 1.483 0.856 7.603
Mg 1.483 0.856 2.313
Mo 0.000 0.000 0.000
```

The value obtained for the formation energy is 0.305 eV per atom.

=====

Record 7
## Be2Rh (PBEsol)

Data for a relaxed structure of Be2Rh.

Geometry as extended XYZ:
```
6
Lattice="-1.338 1.731 1.722 -2.465 0.675 -2.593 -2.535 -5.237 1.046" Properties=species:S:1:pos:R:3 pbc="T T T"
Be -4.222 -0.954 -0.069
Be -4.621 -3.277 -0.295
Be -2.115 -1.877 0.244
Be -1.716 0.446 0.469
Rh -2.493 -0.373 -1.561
Rh -3.844 -2.458 1.736
```

The value obtained for the formation energy is -0.569 eV per atom.

=====

Record 8
## RbNaPd3 (PBEsol)

Data for a relaxed structure of RbNaPd3.

Geometry as extended XYZ:
```
5
Lattice="4.872 0.000 0.000 0.000 4.872 0.000 0.000 0.000 4.872" Properties=species:S:1:pos:R:3 pbc="T T T"
Na 0.000 0.000 0.000
Rb 2.436 2.436 2.436
Pd 0.000 2.436 0.000
Pd 0.000 0.000 2.436
Pd 2.436 0.000 0.000
```

The value obtained for the formation energy is 0.854 eV per atom.

=====

Record 9
## CaNiPb2 (PBEsol)

Data for a relaxed structure of CaNiPb2.

Geometry as extended XYZ:
```
4
Lattice="4.385 0.000 0.000 0.000 4.546 0.062 0.000 -0.062 4.546" Properties=species:S:1:pos:R:3 pbc="T T T"
Ca 2.193 0.000 0.000
Ni 2.193 2.242 2.304
Pb 0.000 2.273 0.031
Pb 0.000 -0.031 2.273
```

The value obtained for the formation energy is -0.010 eV per atom.

=====

Record 10
## SrBe2Ru (PBEsol)

Data for a relaxed structure of SrBe2Ru.

Geometry as extended XYZ:
```
4
Lattice="3.276 0.000 0.000 0.000 4.997 0.000 -1.638 -2.499 4.111" Properties=species:S:1:pos:R:3 pbc="T T T"
Ru 1.638 0.000 0.000
Be 1.638 2.499 2.538
Be 0.000 0.000 1.573
Sr 0.000 2.499 0.000
```

The value obtained for the formation energy is 0.541 eV per atom.

=====

Record 11
## CdPtAu2 (PBEsol)

Data for a relaxed structure of CdPtAu2.

Geometry as extended XYZ:
```
4
Lattice="-2.396 1.281 3.062 1.181 -3.201 2.263 3.653 3.127 -1.186" Properties=species:S:1:pos:R:3 pbc="T T T"
Au 0.325 1.724 2.269
Au 2.113 -0.517 1.870
Pt 0.000 0.000 0.000
Cd -0.608 -0.960 2.663
```

The value obtained for the formation energy is -0.121 eV per atom.

=====

Record 12
## Li8MnO6 (PBEsol)

Data for a relaxed structure of Li8MnO6.

Geometry as extended XYZ:
```
15
Lattice="5.300 0.000 0.000 2.650 4.590 0.000 2.650 1.530 4.868" Properties=species:S:1:pos:R:3 pbc="T T T"
Li 6.025 4.672 1.706
Li 7.059 3.237 3.162
Li 4.267 4.494 3.162
Li 5.300 3.060 0.106
Li 5.300 3.060 4.762
Li 6.333 1.625 1.706
Li 3.541 2.882 1.706
Li 4.574 1.448 3.162
Mn 0.000 0.000 0.000
O 6.049 4.714 3.746
O 7.107 3.238 1.121
O 4.242 4.536 1.121
O 6.358 1.583 3.746
O 3.492 2.882 3.746
O 4.550 1.405 1.121
```

As for the uncorrected formation energy: -1.8822 eV/atom.

=====

Record 13
## Zr6Al16Pt7 (PBEsol)

Data for a relaxed structure of Zr6Al16Pt7.

Geometry as extended XYZ:
```
29
Lattice="-0.298 8.689 -0.336 -4.525 4.432 5.966 4.170 4.731 5.995" Properties=species:S:1:pos:R:3 pbc="T T T"
Al -2.429 4.447 4.495
Al -0.233 6.658 1.222
Al -0.078 2.145 1.397
Al 2.088 4.602 4.510
Al -0.420 11.193 10.402
Al 1.776 13.405 7.129
Al -0.575 15.707 10.228
Al -2.741 13.250 7.114
Al -3.205 8.905 7.831
Al -0.415 11.715 3.673
Al -0.219 5.981 3.894
Al 2.533 9.103 7.850
Al -0.238 6.137 7.952
Al 2.552 8.947 3.793
Al -0.434 11.871 7.730
Al -3.186 8.749 3.774
Pt 0.000 0.000 0.000
Pt -0.178 4.581 5.980
Pt -0.149 4.345 -0.168
Pt -2.263 2.216 2.983
Pt 1.936 6.710 2.829
Pt -2.412 6.560 2.815
Pt 2.085 2.365 2.997
Zr -0.337 9.014 8.104
Zr -0.316 8.838 3.521
Zr -1.892 7.251 5.869
Zr 1.238 10.601 5.755
Zr -2.003 10.489 5.744
Zr 1.349 7.362 5.880
```

The value obtained for the formation energy is -0.931 eV per atom.

=====

Record 14
## CrAu3Se (PBEsol)

Data for a relaxed structure of CrAu3Se.

Geometry as extended XYZ:
```
5
Lattice="-4.018 0.587 -2.574 1.551 -3.269 -3.165 -2.137 -3.476 2.543" Properties=species:S:1:pos:R:3 pbc="T T T"
Cr 0.000 0.000 0.000
Au 0.775 -1.635 -1.583
Au -1.068 -1.738 1.272
Au -2.009 0.293 -1.287
Se -2.302 -3.079 -1.598
```

As for the uncorrected formation energy: 1.1810 eV/atom.

=====

Record 15
## TlSb2Pt (PBEsol)

Data for a relaxed structure of TlSb2Pt.

Geometry as extended XYZ:
```
4
Lattice="4.703 0.000 0.000 0.000 4.703 0.000 -2.351 -2.351 4.080" Properties=species:S:1:pos:R:3 pbc="T T T"
Pt 0.000 2.351 2.040
Sb 0.000 0.000 0.000
Sb 2.351 0.000 2.040
Tl 2.351 2.351 0.000
```

As for the uncorrected formation energy: 0.2054 eV/atom.

=====

Record 16
## CoReC2 (PBEsol)

Data for a relaxed structure of CoReC2.

Geometry as extended XYZ:
```
8
Lattice="4.460 0.000 0.000 0.000 4.460 0.000 -2.230 -2.230 4.356" Properties=species:S:1:pos:R:3 pbc="T T T"
Re 0.000 2.230 2.178
Re 0.000 0.000 0.000
C 1.191 3.345 1.089
C 3.269 1.115 1.089
C -1.115 -1.039 3.267
C 1.115 1.039 3.267
Co 2.230 0.000 2.178
Co 2.230 2.230 0.000
```

The value obtained for the formation energy is 0.574 eV per atom.

=====

Record 17
## Cd3PN (PBEsol)

Data for a relaxed structure of Cd3PN.

Geometry as extended XYZ:
```
5
Lattice="-4.193 0.640 1.430 -0.589 -4.430 0.254 1.451 0.050 4.234" Properties=species:S:1:pos:R:3 pbc="T T T"
P -1.665 -1.870 2.959
N 0.000 0.000 0.000
Cd -0.295 -2.215 0.127
Cd 0.726 0.025 2.117
Cd -2.096 0.320 0.715
```

As for the uncorrected formation energy: 0.4248 eV/atom.

=====

Record 18
## Re2RuSe (PBEsol)

Data for a relaxed structure of Re2RuSe.

Geometry as extended XYZ:
```
4
Lattice="2.847 0.000 0.000 0.000 4.806 0.020 0.000 -2.135 4.306" Properties=species:S:1:pos:R:3 pbc="T T T"
Re 0.000 2.403 0.010
Re 0.000 -1.067 2.153
Ru 1.423 0.000 0.000
Se 1.423 1.336 2.163
```

As for the uncorrected formation energy: 0.6464 eV/atom.

=====

Record 19
## Zr2CuHg (PBEsol)

Data for a relaxed structure of Zr2CuHg.

Geometry as extended XYZ:
```
4
Lattice="3.397 0.000 0.000 0.000 3.397 0.000 0.000 0.000 6.575" Properties=species:S:1:pos:R:3 pbc="T T T"
Cu 0.000 0.000 3.319
Hg 1.699 1.699 4.775
Zr 0.000 0.000 6.497
Zr 1.699 1.699 1.847
```

The value obtained for the formation energy is -0.149 eV per atom.

=====

Record 20
## YTcH3 (PBEsol)

Data for a relaxed structure of YTcH3.

Geometry as extended XYZ:
```
5
Lattice="-2.601 -0.728 2.620 1.997 -2.972 1.157 1.845 2.190 2.440" Properties=species:S:1:pos:R:3 pbc="T T T"
Y 0.000 0.000 0.000
H 0.998 -1.486 0.578
H 0.923 1.095 1.220
H -1.300 -0.364 1.310
Tc 0.621 -0.755 3.109
```

The total energy comes out at -4.927 eV/atom.

=====

Record 21
## ThBiTe (PBEsol)

Data for a relaxed structure of ThBiTe.

Geometry as extended XYZ:
```
6
Lattice="4.466 0.000 0.000 0.000 4.466 0.000 0.000 0.000 9.092" Properties=species:S:1:pos:R:3 pbc="T T T"
Te 0.000 2.233 3.321
Te 2.233 0.000 5.771
Bi 0.000 0.000 0.000
Bi 2.233 2.233 0.000
Th 0.000 2.233 6.564
Th 2.233 0.000 2.528
```

As for the uncorrected formation energy: -0.9292 eV/atom.

=====

Record 22
## HgIr2Au (PBEsol)

Data for a relaxed structure of HgIr2Au.

Geometry as extended XYZ:
```
4
Lattice="-2.790 -0.351 0.222 -1.040 -1.977 1.722 -1.501 5.440 7.648" Properties=species:S:1:pos:R:3 pbc="T T T"
Au -2.668 1.643 4.895
Hg -1.331 0.724 2.338
Ir -1.497 5.330 7.524
Ir -4.001 2.411 7.281
```

The value obtained for the formation energy is 0.275 eV per atom.

=====

Record 23
## CeFeSb2 (PBEsol)

Data for a relaxed structure of CeFeSb2.

Geometry as extended XYZ:
```
8
Lattice="4.281 0.000 0.000 0.000 4.281 0.000 0.000 0.000 9.397" Properties=species:S:1:pos:R:3 pbc="T T T"
Ce 0.000 2.141 6.880
Ce 2.141 0.000 2.517
Fe 2.141 2.141 4.698
Fe 0.000 0.000 4.698
Sb 2.141 2.141 0.000
Sb 0.000 0.000 0.000
Sb 0.000 2.141 3.336
Sb 2.141 0.000 6.061
```

As for the uncorrected formation energy: -0.5513 eV/atom.

=====

Record 24
## Ti17N6O24 (PBEsol)

Data for a relaxed structure of Ti17N6O24.

Geometry as extended XYZ:
```
47
Lattice="-1.050 6.917 -2.479 -7.118 0.964 1.873 0.077 6.209 8.602" Properties=species:S:1:pos:R:3 pbc="T T T"
Ti -2.544 5.781 2.097
Ti -1.223 6.894 -0.425
Ti -2.148 11.828 5.035
Ti -1.617 4.092 4.422
Ti -4.236 9.596 4.958
Ti -3.768 4.251 -0.530
Ti -5.200 8.351 1.900
Ti -1.574 7.031 5.151
Ti -6.537 10.168 7.132
Ti -7.099 9.386 4.021
Ti -0.991 7.827 8.273
Ti -6.491 6.862 -0.715
Ti -2.907 2.596 1.834
Ti -6.887 4.105 4.061
Ti -3.853 7.493 7.195
Ti -5.864 5.413 7.277
Ti -5.579 5.282 1.763
N -1.168 6.801 -2.394
N -5.330 8.635 3.762
N -5.551 5.132 -0.306
N -2.402 5.807 3.977
N -6.953 4.193 6.083
N -2.779 8.724 8.473
O -1.254 7.048 1.642
O -3.030 8.212 5.449
O -4.157 6.765 1.898
O -0.425 5.434 5.598
O -3.216 10.595 3.756
O -3.203 10.943 6.274
O -2.438 5.551 -0.035
O -2.905 2.739 3.923
O -1.476 4.087 2.288
O -5.893 10.711 5.190
O -2.198 6.475 7.116
O -1.275 1.556 1.793
O -7.633 8.951 5.827
O -6.946 9.363 1.881
O -0.378 8.201 6.482
O -5.275 8.282 -0.235
O -6.659 6.864 1.429
O -4.909 6.338 6.126
O -5.672 5.310 3.656
O -4.813 6.581 8.587
O -7.651 11.716 6.801
O -3.934 4.242 1.618
O -4.910 9.110 6.918
O -6.923 3.933 2.023
```

As for the uncorrected formation energy: -2.7097 eV/atom.